Entry 1:
VASP calculation (SCAN) on CuSe3 at its PBEsol-relaxed geometry.

```
CuSe3
1.0
4.5895 0.0000 0.0000
-1.5298 4.3270 0.0000
-1.5298 -2.1635 3.7473
Se Cu
3 1
Direct
0.5000 0.5000 0.0000
0.0000 0.5000 0.5000
0.5000 0.0000 0.5000
0.0000 0.0000 0.0000
```

Computed properties:
Energy relative to the elements, uncorrected = 0.081 eV/atom
Crystal system = cubic
Total DFT energy (no corrections) = -18.777 eV/atom



Entry 2:
VASP calculation (SCAN) on CuSe at its PBEsol-relaxed geometry.

```
CuSe
1.0
3.6826 0.0000 0.0000
0.0000 3.6826 0.0000
0.0000 0.0000 5.3345
Cu Se
2 2
Direct
0.5000 0.5000 0.0000
0.0000 0.0000 0.0000
0.5000 0.0000 0.2911
0.0000 0.5000 0.7089
```

Computed properties:
Energy relative to the elements, uncorrected = -0.106 eV/atom
Crystal system = tetragonal
Total DFT energy (no corrections) = -17.745 eV/atom



Entry 3:
VASP calculation (SCAN) on CuSe2 at its PBEsol-relaxed geometry.

```
CuSe2
1.0
-3.4863 -0.2430 1.2752
1.0428 -4.4135 2.0099
1.7026 2.7616 5.1809
Cu Se
2 4
Direct
0.0000 0.0000 0.0000
0.5000 0.5000 0.5000
0.0000 0.8101 0.6169
0.5000 0.3101 0.8831
0.5000 0.6899 0.1169
0.0000 0.1899 0.3831
```

Computed properties:
Energy relative to the elements, uncorrected = -0.110 eV/atom
Crystal system = orthorhombic
Total DFT energy (no corrections) = -18.562 eV/atom